Entry 1:
DFT (GGA-PBE) results for ZnNiRu2 after structural relaxation.

* mass density: 10174 kg/m³
* energy of formation: 0.45 eV per formula unit
* crystal system: monoclinic
* magnetic moment: 0.00 μB/cell

Cell: 8.7545 2.6729 4.6280 Å, 90.00 100.48 90.00°
Space group C2/m (No. 12)
One atom of each set of equivalent atoms:
Zn  0.0000  0.0000  0.0000 (multiplicity 2)
Ni  0.0000  0.5000  0.5000 (multiplicity 2)
Ru  0.2429  0.0000  0.7393 (multiplicity 4)

=====

Entry 2:
DFT (GGA-PBE) results for ZnNiRu2 after structural relaxation.

* mass density: 10305 kg/m³
* energy of formation: 0.24 eV per formula unit
* crystal system: tetragonal
* magnetic moment: 0.01 μB/cell

Cell: 3.7428 3.7428 7.5055 Å, 90.00 90.00 90.00°
Space group I-4m2 (No. 119)
One atom of each set of equivalent atoms:
Zn  0.0000  0.0000  0.0000 (multiplicity 2)
Ni  0.0000  0.5000  0.7500 (multiplicity 2)
Ru  0.0000  0.0000  0.5000 (multiplicity 2)
Ru  0.0000  0.5000  0.2500 (multiplicity 2)

=====

Entry 3:
DFT (GGA-PBE) results for ZnNi4Ru after structural relaxation.

* mass density: 9122 kg/m³
* energy of formation: 0.63 eV per formula unit
* crystal system: cubic
* magnetic moment: 14.59 μB/cell

Cell: 6.6357 6.6357 6.6357 Å, 90.00 90.00 90.00°
Space group F-43m (No. 216)
One atom of each set of equivalent atoms:
Zn  0.0000  0.0000  0.0000 (multiplicity 4)
Ni  0.1251  0.1251  0.3749 (multiplicity 16)
Ru  0.2500  0.2500  0.7500 (multiplicity 4)

=====

Entry 4:
DFT (GGA-PBE) results for ZnNi6Ru after structural relaxation.

* mass density: 9336 kg/m³
* energy of formation: -0.13 eV per formula unit
* crystal system: tetragonal
* magnetic moment: 0.14 μB/cell

Cell: 3.5885 3.5885 7.1638 Å, 90.00 90.00 90.00°
Space group P4/mmm (No. 123)
One atom of each set of equivalent atoms:
Zn  0.0000  0.0000  0.0000 (multiplicity 1)
Ni  0.0000  0.5000  0.2526 (multiplicity 4)
Ni  0.5000  0.5000  0.0000 (multiplicity 1)
Ni  0.5000  0.5000  0.5000 (multiplicity 1)
Ru  0.0000  0.0000  0.5000 (multiplicity 1)